Entry from Alexandria: Ge2PdPt4 after structural relaxation (PBE).

Unit cell a=3.996 b=7.674 c=7.674 alpha=90.00 beta=90.00 gamma=90.00
Positions (direct):
Ge1 0.000 0.736 0.264
Pd1 0.000 0.500 0.500
Pt1 0.000 0.946 0.685
Ge2 0.500 0.236 0.236
Ge3 0.000 0.264 0.736
Pd2 0.500 0.000 0.000
Ge4 0.500 0.764 0.764
Pt2 0.500 0.554 0.185
Pt3 0.500 0.185 0.554
Pt4 0.500 0.815 0.446
Pt5 0.000 0.685 0.946
Pt6 0.000 0.054 0.315
Pt7 0.000 0.315 0.054
Pt8 0.500 0.446 0.815

## Properties
As for the crystal system: tetragonal. For the size of the total moment, the calculation gives 0.0 μB/f.u. Its symmetry is No. 136. As for the formation energy: -0.30 eV per atom.

---

Entry from Alexandria: Zr6GaC after structural relaxation (PBE).

Unit cell a=5.564 b=5.563 c=5.566 alpha=79.89 beta=100.03 gamma=79.92
Positions (direct):
Zr1 0.662 0.238 0.083
Ga1 0.500 0.500 0.500
Zr2 0.083 0.338 0.762
Zr3 0.238 0.082 0.338
Zr4 0.762 0.918 0.662
Zr5 0.917 0.662 0.238
Zr6 0.338 0.762 0.917
C1 0.000 0.000 0.000

## Properties
As for the crystal system: trigonal. For the size of the total moment, the calculation gives 0.0 μB/f.u. Its symmetry is No. 148. As for the formation energy: -0.28 eV per atom.

---

Entry from Alexandria: Pm3Y5O12 after structural relaxation (PBE).

Unit cell a=11.815 b=11.815 c=11.815 alpha=109.47 beta=109.47 gamma=109.47
Positions (direct):
O1 0.412 0.043 0.325
O2 0.282 0.413 0.825
O3 0.087 0.912 0.369
Pm1 0.250 0.125 0.375
O4 0.043 0.631 0.718
O5 0.912 0.087 0.869
Y1 0.375 0.125 0.750
O6 0.131 0.718 0.543
O7 0.131 0.413 0.088
Y2 0.625 0.750 0.875
O8 0.913 0.825 0.782
Pm2 0.625 0.375 0.750
Y3 0.750 0.125 0.875
O9 0.913 0.088 0.631
O10 0.957 0.369 0.282
Pm3 0.375 0.750 0.625
O11 0.675 0.457 0.588
Y4 0.000 0.000 0.500
Y5 0.500 0.500 0.500
Pm4 0.250 0.625 0.875
O12 0.088 0.913 0.131
O13 0.087 0.175 0.218
Pm5 0.375 0.625 0.250
O14 0.325 0.543 0.412
O15 0.369 0.957 0.782
O16 0.782 0.325 0.913
Y6 0.000 0.500 0.000
Pm6 0.750 0.375 0.125
O17 0.218 0.675 0.087
O18 0.718 0.587 0.175
O19 0.718 0.131 0.043
O20 0.631 0.588 0.913
O21 0.587 0.869 0.412
O22 0.587 0.718 0.675
Y7 0.625 0.875 0.250
O23 0.413 0.131 0.588
Y8 0.500 0.000 0.000
Y9 0.125 0.375 0.250
Y10 0.500 0.000 0.500
Y11 0.250 0.375 0.625
O24 0.588 0.631 0.413
O25 0.825 0.912 0.043
O26 0.413 0.282 0.325
O27 0.543 0.325 0.912
Pm7 0.875 0.750 0.125
Pm8 0.125 0.250 0.875
Y12 0.750 0.625 0.375
O28 0.369 0.412 0.087
O29 0.869 0.282 0.457
O30 0.282 0.869 0.957
O31 0.912 0.825 0.543
O32 0.782 0.457 0.369
O33 0.218 0.543 0.631
Pm9 0.875 0.125 0.250
O34 0.825 0.913 0.282
Y13 0.875 0.250 0.625
O35 0.957 0.588 0.175
Y14 0.000 0.500 0.500
Pm10 0.750 0.875 0.625
O36 0.043 0.412 0.825
O37 0.457 0.675 0.088
Y15 0.125 0.750 0.375
Y16 0.375 0.250 0.125
O38 0.175 0.088 0.957
O39 0.543 0.218 0.131
Y17 0.250 0.875 0.125
O40 0.675 0.218 0.587
Y18 0.000 0.000 0.000
O41 0.325 0.782 0.413
O42 0.412 0.369 0.587
O43 0.088 0.175 0.457
O44 0.457 0.782 0.869
Y19 0.500 0.500 0.000
O45 0.869 0.587 0.912
O46 0.588 0.957 0.675
Pm11 0.625 0.250 0.375
Y20 0.875 0.625 0.750
O47 0.175 0.087 0.718
Pm12 0.125 0.875 0.750
O48 0.631 0.043 0.218

## Properties
The uncorrected formation energy is -3.3172 eV per atom. As for the crystal system: cubic. For the size of the total moment, the calculation gives 0.0 μB/f.u. Its symmetry is No. 230.

---

Entry from Alexandria: La15Er2Pb2 after structural relaxation (PBE).

Unit cell a=9.192 b=9.192 c=9.192 alpha=69.97 beta=69.97 gamma=69.97
Positions (direct):
La1 0.294 0.706 0.000
La2 0.193 0.545 0.545
La3 0.706 0.000 0.294
La4 0.455 0.807 0.455
Pb1 0.093 0.093 0.093
Er1 0.280 0.280 0.280
La5 0.455 0.455 0.807
La6 0.000 0.706 0.294
La7 0.545 0.193 0.545
Er2 0.720 0.720 0.720
Pb2 0.907 0.907 0.907
La8 0.706 0.294 0.000
La9 0.545 0.545 0.193
La10 0.807 0.455 0.455
La11 0.500 0.000 0.000
La12 0.000 0.000 0.500
La13 0.000 0.500 0.000
La14 0.000 0.294 0.706
La15 0.294 0.000 0.706

## Properties
As for the crystal system: trigonal. For the size of the total moment, the calculation gives 0.0 μB/f.u. Its symmetry is No. 166. As for the formation energy: 0.09 eV per atom.

---

Entry from Alexandria: DyTmNiHg after structural relaxation (PBE).

Unit cell a=5.012 b=5.012 c=5.012 alpha=60.00 beta=60.00 gamma=60.00
Positions (direct):
Dy1 0.500 0.500 0.500
Tm1 0.000 0.000 0.000
Ni1 0.750 0.750 0.750
Hg1 0.250 0.250 0.250

## Properties
As for the crystal system: cubic. For the size of the total moment, the calculation gives 0.0 μB/f.u. Its symmetry is No. 216. As for the formation energy: -0.37 eV per atom.

---

Entry from Alexandria: PtW3 after structural relaxation (PBE).

Unit cell a=4.906 b=4.906 c=4.906 alpha=132.11 beta=131.99 gamma=70.15
Positions (direct):
W1 0.000 0.500 0.500
W2 0.250 0.250 0.000
W3 0.750 0.750 0.000
Pt1 0.500 0.000 0.500

## Properties
As for the crystal system: tetragonal. For the size of the total moment, the calculation gives 0.0 μB/f.u. Its symmetry is No. 139. As for the formation energy: 0.05 eV per atom.

---

Entry from Alexandria: CaPtRh after structural relaxation (PBE).

Unit cell a=5.490 b=5.490 c=5.490 alpha=142.58 beta=142.58 gamma=53.96
Positions (direct):
Ca1 0.997 0.997 0.000
Rh1 0.708 0.708 0.000
Pt1 0.294 0.294 0.000

## Properties
As for the crystal system: tetragonal. For the size of the total moment, the calculation gives 0.0 μB/f.u. Its symmetry is No. 107. As for the formation energy: -0.29 eV per atom.

---

Entry from Alexandria: Tl3Hg3Bi2Pb2 after structural relaxation (PBE).

Unit cell a=4.603 b=4.603 c=17.512 alpha=97.55 beta=97.55 gamma=90.00
Positions (direct):
Tl1 0.914 0.914 0.827
Hg1 0.398 0.398 0.796
Pb1 0.180 0.180 0.360
Tl2 0.500 0.500 0.000
Pb2 0.820 0.820 0.640
Hg2 0.000 0.000 0.000
Tl3 0.086 0.086 0.173
Bi1 0.250 0.750 0.500
Bi2 0.750 0.250 0.500
Hg3 0.602 0.602 0.204

## Properties
As for the crystal system: tetragonal. For the size of the total moment, the calculation gives 0.0 μB/f.u. Its symmetry is No. 139. As for the formation energy: 0.12 eV per atom.

---

Entry from Alexandria: Ba4AgI2Br after structural relaxation (PBE).

Unit cell a=4.725 b=8.524 c=8.942 alpha=107.55 beta=90.00 gamma=90.00
Positions (direct):
Ba1 0.000 0.729 0.220
I1 0.000 0.500 0.500
Ba2 0.500 0.754 0.771
Ba3 0.000 0.271 0.780
I2 0.500 0.000 0.500
Ba4 0.500 0.246 0.229
Br1 0.000 0.000 0.000
Ag1 0.500 0.500 0.000

## Properties
The uncorrected formation energy is -1.1044 eV per atom. As for the crystal system: monoclinic. For the size of the total moment, the calculation gives 0.3 μB/f.u. Its symmetry is No. 10.

---

Entry from Alexandria: Er4SbIr2 after structural relaxation (PBE).

Unit cell a=7.998 b=7.998 c=7.999 alpha=110.98 beta=111.03 gamma=106.44
Positions (direct):
Ir1 0.125 0.375 0.750
Er1 0.835 0.650 0.185
Er2 0.785 0.100 0.684
Sb1 0.000 0.000 0.000
Ir2 0.625 0.875 0.250
Er3 0.900 0.215 0.316
Er4 0.415 0.100 0.316
Ir3 0.625 0.375 0.250
Er5 0.350 0.535 0.185
Ir4 0.625 0.375 0.750
Er6 0.900 0.585 0.684
Sb2 0.250 0.750 0.500
Er7 0.465 0.650 0.815
Er8 0.350 0.166 0.815

## Properties
The uncorrected formation energy is -0.6785 eV per atom. As for the crystal system: orthorhombic. For the size of the total moment, the calculation gives 0.0 μB/f.u. Its symmetry is No. 74.

---

Entry from Alexandria: Na2CdO after structural relaxation (PBE).

Unit cell a=3.579 b=3.579 c=9.159 alpha=78.73 beta=78.73 gamma=60.00
Site moments in Bohr magnetons follow the coordinates.
Positions (direct):
Na1 0.870 0.870 0.389  0.00
O1 0.500 0.500 0.500  0.09
Na2 0.130 0.130 0.611  0.00
Cd1 0.000 0.000 0.000  0.00

## Properties
The uncorrected formation energy is -0.7022 eV per atom. As for the crystal system: trigonal. For the size of the total moment, the calculation gives 0.1 μB/f.u. Its symmetry is No. 166.

---

Entry from Alexandria: CuSn2Ge2 after structural relaxation (PBE).

Unit cell a=7.186 b=7.186 c=4.489 alpha=90.00 beta=90.00 gamma=90.00
Positions (direct):
Ge1 0.872 0.372 0.500
Sn1 0.329 0.829 0.000
Ge2 0.128 0.628 0.500
Cu1 0.500 0.500 0.000
Sn2 0.671 0.171 0.000
Sn3 0.171 0.329 0.000
Sn4 0.829 0.671 0.000
Ge3 0.628 0.872 0.500
Cu2 0.000 0.000 0.000
Ge4 0.372 0.128 0.500

## Properties
As for the crystal system: tetragonal. For the size of the total moment, the calculation gives 0.0 μB/f.u. Its symmetry is No. 127. As for the formation energy: 0.32 eV per atom.